# Ca3TeCl | Alexandria | PBE | optimized geometry
# Raw formation energy, eV per atom: -0.721
# Uncorrected energy, eV/atom: -2.919
# Relative energy among the computed polymorphs, eV/atom: 0.000
data_Ca3TeCl
_symmetry_space_group_name_H-M 'P m -3 m'
_symmetry_Int_Tables_number 221
_symmetry_space_group_name_Hall '-P 4 2 3'
_cell_length_a 5.407
_cell_length_b 5.407
_cell_length_c 5.407
_cell_angle_alpha 90.00
_cell_angle_beta 90.00
_cell_angle_gamma 90.00
loop_
_atom_site_label
_atom_site_type_symbol
_atom_site_fract_x
_atom_site_fract_y
_atom_site_fract_z
Ca1 Ca 0.000 0.000 0.500
Te1 Te 0.500 0.500 0.500
Cl1 Cl 0.000 0.000 0.000